Below is an optimized crystal structure of RbTlSe2, with properties calculated at the GGA-PBE level.

a = 6.881 Å, b = 6.972 Å, c = 6.322 Å
α = 79.66°, β = 83.82°, γ = 75.16°
Fractional coordinates of all 8 atoms:
Tl1 0.439 0.190 0.549
Tl2 0.316 0.716 0.696
Se1 0.892 0.792 0.568
Se2 0.253 0.575 0.222
Se3 0.863 0.114 0.677
Se4 0.503 0.330 0.023
Rb1 0.053 0.156 0.149
Rb2 0.702 0.749 0.096

Values from the calculation:
E above lowest polymorph = 64.7 meV/atom
Final energy = -3.18 eV per atom
E_form (uncorrected) = -0.60 eV per atom
Total moment = 0.0 μB/cell

=====

Below is an optimized crystal structure of LaIn2Sb, with properties calculated at the GGA-PBE level.

a = 6.056 Å, b = 6.056 Å, c = 6.056 Å
α = 50.00°, β = 50.00°, γ = 50.00°
Fractional coordinates of all 4 atoms:
Sb1 0.750 0.750 0.750
In1 0.476 0.476 0.476
In2 0.024 0.024 0.024
La1 0.250 0.250 0.250

Values from the calculation:
E above lowest polymorph = 294.4 meV/atom
Final energy = -3.92 eV per atom
E_form (uncorrected) = -0.29 eV per atom
Total moment = 0.0 μB/cell

=====

Below is an optimized crystal structure of Mg2Sc2Ga, with properties calculated at the GGA-PBE level.

a = 6.907 Å, b = 6.907 Å, c = 4.666 Å
α = 90.00°, β = 90.00°, γ = 90.00°
Fractional coordinates of all 10 atoms:
Mg1 0.860 0.640 0.000
Mg2 0.360 0.860 0.000
Mg3 0.140 0.360 0.000
Mg4 0.640 0.140 0.000
Ga1 0.500 0.500 0.000
Ga2 0.000 0.000 0.000
Sc1 0.832 0.332 0.500
Sc2 0.168 0.668 0.500
Sc3 0.668 0.832 0.500
Sc4 0.332 0.168 0.500

Values from the calculation:
E above lowest polymorph = 0.0 meV/atom
Formation energy from the elements = -46 meV per atom
Final energy = -3.82 eV per atom
Total moment = 0.0 μB/cell

=====

Below is an optimized crystal structure of NiAg4Ru, with properties calculated at the GGA-PBE level.

a = 5.317 Å, b = 5.317 Å, c = 5.317 Å
α = 60.00°, β = 60.00°, γ = 60.00°
Site moments in Bohr magnetons follow the coordinates.
Fractional coordinates of all 6 atoms:
Ag1 0.625 0.125 0.625  0.01
Ag2 0.125 0.625 0.625  0.01
Ag3 0.625 0.625 0.625  0.01
Ag4 0.625 0.625 0.125  0.01
Ni1 0.250 0.250 0.250  0.76
Ru1 0.000 0.000 0.000  2.02

Values from the calculation:
Formation energy from the elements = 761 meV per atom
Final energy = -3.65 eV per atom
Total moment = 2.8 μB/cell

=====

Below is an optimized crystal structure of Sc2RuCl, with properties calculated at the GGA-PBE level.

a = 3.755 Å, b = 3.755 Å, c = 5.401 Å
α = 90.00°, β = 90.00°, γ = 90.00°
Fractional coordinates of all 4 atoms:
Cl1 0.000 0.000 0.380
Sc1 0.500 0.500 0.364
Sc2 0.000 0.000 0.879
Ru1 0.500 0.500 0.877

Values from the calculation:
E above lowest polymorph = 372.1 meV/atom
Final energy = -6.57 eV per atom
E_form (uncorrected) = -0.62 eV per atom
Total moment = 0.0 μB/cell

=====

Below is an optimized crystal structure of AgMoIr2, with properties calculated at the GGA-PBE level.

a = 4.846 Å, b = 4.846 Å, c = 4.869 Å
α = 80.41°, β = 80.41°, γ = 33.19°
Fractional coordinates of all 4 atoms:
Ir1 0.992 0.992 0.013
Ir2 0.508 0.508 0.487
Mo1 0.250 0.250 0.250
Ag1 0.750 0.750 0.750

Values from the calculation:
E above lowest polymorph = 169.5 meV/atom
Formation energy from the elements = 180 meV per atom
Final energy = -7.67 eV per atom
Total moment = 0.0 μB/cell

=====

Below is an optimized crystal structure of ReRuI2O, with properties calculated at the GGA-PBE level.

a = 5.566 Å, b = 5.566 Å, c = 3.695 Å
α = 90.00°, β = 90.00°, γ = 90.00°
Site moments in Bohr magnetons follow the coordinates.
Fractional coordinates of all 5 atoms:
Ru1 0.000 0.000 0.000  -0.28
O1 0.000 0.000 0.500  -0.05
I1 0.500 0.000 0.000  0.04
I2 0.000 0.500 0.000  0.04
Re1 0.500 0.500 0.500  3.35

Values from the calculation:
E above lowest polymorph = 259.7 meV/atom
Final energy = -5.03 eV per atom
E_form (uncorrected) = 0.93 eV per atom
Total moment = 3.8 μB/cell

=====

Below is an optimized crystal structure of Sr2LiV, with properties calculated at the GGA-PBE level.

a = 5.760 Å, b = 5.760 Å, c = 5.760 Å
α = 60.00°, β = 60.00°, γ = 60.00°
Site moments in Bohr magnetons follow the coordinates.
Fractional coordinates of all 4 atoms:
V1 0.500 0.500 0.500  3.09
Li1 0.000 0.000 0.000  0.00
Sr1 0.250 0.250 0.250  0.10
Sr2 0.750 0.750 0.750  0.10

Values from the calculation:
E above lowest polymorph = 0.0 meV/atom
Formation energy from the elements = 506 meV per atom
Final energy = -3.09 eV per atom
Total moment = 4.8 μB/cell

=====

Below is an optimized crystal structure of NbGePt3, with properties calculated at the GGA-PBE level.

a = 4.899 Å, b = 4.899 Å, c = 4.899 Å
α = 90.00°, β = 90.00°, γ = 90.00°
Fractional coordinates of all 5 atoms:
Pt1 0.000 0.500 0.000
Pt2 0.500 0.000 0.000
Pt3 0.000 0.000 0.500
Ge1 0.500 0.500 0.500
Nb1 0.000 0.000 0.000

Values from the calculation:
E above lowest polymorph = 323.3 meV/atom
Formation energy from the elements = 880 meV per atom
Final energy = -5.68 eV per atom
Total moment = 0.0 μB/cell

=====

Below is an optimized crystal structure of Sm2SnRh, with properties calculated at the GGA-PBE level.

a = 6.365 Å, b = 6.365 Å, c = 6.408 Å
α = 112.66°, β = 112.66°, γ = 102.97°
Fractional coordinates of all 8 atoms:
Sn1 0.783 0.217 0.000
Sn2 0.217 0.783 0.000
Sm1 0.750 0.250 0.500
Sm2 0.718 0.718 0.000
Sm3 0.250 0.750 0.500
Sm4 0.282 0.282 0.000
Rh1 0.198 0.198 0.397
Rh2 0.802 0.802 0.603

Values from the calculation:
Formation energy from the elements = -637 meV per atom
Final energy = -5.84 eV per atom
Total moment = 0.0 μB/cell

=====

Below is an optimized crystal structure of Pm3YRu2, with properties calculated at the GGA-PBE level.

a = 6.830 Å, b = 7.208 Å, c = 8.476 Å
α = 115.16°, β = 113.76°, γ = 90.00°
Fractional coordinates of all 12 atoms:
Ru1 0.858 0.134 0.269
Ru2 0.411 0.634 0.269
Ru3 0.142 0.866 0.731
Ru4 0.589 0.366 0.731
Pm1 0.500 0.250 0.000
Pm2 0.766 0.516 0.532
Pm3 0.766 0.016 0.532
Pm4 0.500 0.750 0.000
Pm5 0.234 0.484 0.468
Pm6 0.234 0.984 0.468
Y1 0.000 0.000 0.000
Y2 0.000 0.500 0.000

Values from the calculation:
Formation energy from the elements = -147 meV per atom
Final energy = -6.69 eV per atom
Total moment = 0.0 μB/cell

=====

Below is an optimized crystal structure of ScCl, with properties calculated at the GGA-PBE level.

a = 7.096 Å, b = 7.096 Å, c = 7.096 Å
α = 90.00°, β = 90.00°, γ = 90.00°
Site moments in Bohr magnetons follow the coordinates.
Fractional coordinates of all 12 atoms:
Cl1 0.250 0.500 0.000  -0.01
Cl2 0.500 0.000 0.250  -0.01
Cl3 0.000 0.250 0.500  -0.01
Cl4 0.500 0.000 0.750  -0.01
Cl5 0.000 0.750 0.500  -0.01
Cl6 0.750 0.500 0.000  -0.01
Sc1 0.500 0.250 0.000  0.51
Sc2 0.250 0.000 0.500  0.51
Sc3 0.500 0.750 0.000  0.51
Sc4 0.000 0.500 0.250  0.51
Sc5 0.000 0.500 0.750  0.51
Sc6 0.750 0.000 0.500  0.51

Values from the calculation:
Final energy = -4.71 eV per atom
E_form (uncorrected) = -0.62 eV per atom
Total moment = 5.2 μB/cell

=====

Below is an optimized crystal structure of Ba8SN2, with properties calculated at the GGA-PBE level.

a = 7.279 Å, b = 9.097 Å, c = 9.097 Å
α = 74.74°, β = 90.08°, γ = 90.08°
Fractional coordinates of all 11 atoms:
Ba1 0.274 0.362 0.362
Ba2 0.235 0.930 0.302
Ba3 0.291 0.831 0.831
Ba4 0.235 0.302 0.930
Ba5 0.765 0.698 0.070
Ba6 0.709 0.169 0.169
Ba7 0.765 0.070 0.698
Ba8 0.726 0.638 0.638
S1 0.000 0.000 0.000
N1 0.636 0.804 0.804
N2 0.364 0.196 0.196

Values from the calculation:
Final energy = -3.85 eV per atom
E_form (uncorrected) = -0.56 eV per atom
Total moment = 0.0 μB/cell

=====

Below is an optimized crystal structure of Pm3Sn4Pd4, with properties calculated at the GGA-PBE level.

a = 4.508 Å, b = 7.421 Å, c = 8.650 Å
α = 115.40°, β = 105.11°, γ = 90.00°
Fractional coordinates of all 11 atoms:
Pm1 0.870 0.870 0.739
Pm2 0.130 0.130 0.261
Pm3 0.000 0.500 0.000
Sn1 0.213 0.713 0.427
Sn2 0.787 0.287 0.573
Sn3 0.500 0.802 0.000
Sn4 0.500 0.198 0.000
Pd1 0.322 0.523 0.644
Pd2 0.322 0.121 0.644
Pd3 0.678 0.879 0.356
Pd4 0.678 0.477 0.356

Values from the calculation:
E above lowest polymorph = 0.0 meV/atom
Formation energy from the elements = -829 meV per atom
Final energy = -5.47 eV per atom
Total moment = 0.0 μB/cell

=====

Below is an optimized crystal structure of Hf2MnGe2, with properties calculated at the GGA-PBE level.

a = 4.307 Å, b = 5.583 Å, c = 7.707 Å
α = 90.00°, β = 106.23°, γ = 90.00°
Site moments in Bohr magnetons follow the coordinates.
Fractional coordinates of all 10 atoms:
Hf1 0.201 0.977 0.402  -0.12
Hf2 0.000 0.227 0.000  -0.18
Hf3 0.000 0.727 0.000  -0.18
Hf4 0.799 0.477 0.598  -0.12
Ge1 0.178 0.477 0.356  0.00
Ge2 0.822 0.977 0.644  0.00
Ge3 0.422 0.477 0.843  -0.05
Ge4 0.578 0.977 0.157  -0.05
Mn1 0.598 0.477 0.195  2.72
Mn2 0.402 0.977 0.805  2.72

Values from the calculation:
Formation energy from the elements = -409 meV per atom
Final energy = -8.07 eV per atom
Total moment = 4.7 μB/cell

=====

Below is an optimized crystal structure of Ba2LiIn6Bi, with properties calculated at the GGA-PBE level.

a = 10.931 Å, b = 6.120 Å, c = 8.045 Å
α = 67.67°, β = 46.37°, γ = 90.04°
Fractional coordinates of all 10 atoms:
In1 0.712 0.738 0.030
In2 0.075 0.253 0.493
In3 0.713 0.232 0.029
In4 0.925 0.747 0.507
In5 0.288 0.262 0.970
In6 0.287 0.768 0.971
Li1 0.500 0.500 0.000
Ba1 0.746 0.269 0.461
Ba2 0.254 0.731 0.539
Bi1 0.000 0.000 0.000

Values from the calculation:
Formation energy from the elements = -293 meV per atom
Final energy = -2.90 eV per atom
Total moment = 0.0 μB/cell

=====

Below is an optimized crystal structure of TaCd2Fe, with properties calculated at the GGA-PBE level.

a = 5.371 Å, b = 6.332 Å, c = 2.768 Å
α = 63.84°, β = 90.12°, γ = 118.42°
Site moments in Bohr magnetons follow the coordinates.
Fractional coordinates of all 4 atoms:
Fe1 0.500 0.500 0.000  2.65
Cd1 0.000 0.000 0.000  -0.02
Cd2 0.000 0.500 0.500  -0.02
Ta1 0.500 0.000 0.500  -0.09

Values from the calculation:
E above lowest polymorph = 269.4 meV/atom
Formation energy from the elements = 423 meV per atom
Final energy = -5.11 eV per atom
Total moment = 2.4 μB/cell

=====

Below is an optimized crystal structure of ReBCl, with properties calculated at the GGA-PBE level.

a = 2.858 Å, b = 3.033 Å, c = 6.505 Å
α = 91.90°, β = 97.94°, γ = 90.00°
Fractional coordinates of all 3 atoms:
Cl1 0.101 0.006 0.578
B1 0.974 0.477 0.175
Re1 0.506 0.984 0.278

Values from the calculation:
E above lowest polymorph = 120.0 meV/atom
Final energy = -6.68 eV per atom
E_form (uncorrected) = 0.31 eV per atom
Total moment = 0.0 μB/cell

=====

Below is an optimized crystal structure of HfInBr2, with properties calculated at the GGA-PBE level.

a = 5.090 Å, b = 5.090 Å, c = 5.090 Å
α = 60.00°, β = 60.00°, γ = 60.00°
Fractional coordinates of all 4 atoms:
Br1 0.750 0.750 0.750
Br2 0.250 0.250 0.250
In1 0.000 0.000 0.000
Hf1 0.500 0.500 0.500

Values from the calculation:
E above lowest polymorph = 724.9 meV/atom
Final energy = -3.92 eV per atom
E_form (uncorrected) = 0.09 eV per atom
Total moment = 0.0 μB/cell

=====

Below is an optimized crystal structure of Nd3Ag2Pb4, with properties calculated at the GGA-PBE level.

a = 4.821 Å, b = 6.451 Å, c = 9.281 Å
α = 107.35°, β = 90.00°, γ = 111.94°
Fractional coordinates of all 9 atoms:
Nd1 0.362 0.725 0.307
Nd2 0.638 0.275 0.693
Nd3 0.000 0.000 0.000
Pb1 0.937 0.874 0.626
Pb2 0.063 0.126 0.374
Pb3 0.697 0.393 0.073
Pb4 0.303 0.607 0.927
Ag1 0.699 0.398 0.386
Ag2 0.301 0.602 0.614

Values from the calculation:
Formation energy from the elements = -395 meV per atom
Final energy = -4.27 eV per atom
Total moment = 0.0 μB/cell

=====

Below is an optimized crystal structure of SiAg2Ru, with properties calculated at the GGA-PBE level.

a = 3.541 Å, b = 2.939 Å, c = 6.362 Å
α = 76.64°, β = 90.00°, γ = 90.00°
Fractional coordinates of all 4 atoms:
Ag1 0.500 0.184 0.259
Ag2 0.000 0.818 0.990
Si1 0.500 0.969 0.686
Ru1 0.000 0.529 0.564

Values from the calculation:
Final energy = -5.10 eV per atom
E_form (uncorrected) = 0.00 eV per atom
Total moment = 0.0 μB/cell

=====

Below is an optimized crystal structure of Tb2PuPd, with properties calculated at the GGA-PBE level.

a = 3.519 Å, b = 3.519 Å, c = 10.870 Å
α = 80.69°, β = 80.69°, γ = 60.00°
Site moments in Bohr magnetons follow the coordinates.
Fractional coordinates of all 4 atoms:
Tb1 0.104 0.104 0.689  0.02
Tb2 0.896 0.896 0.311  0.02
Pd1 0.500 0.500 0.500  0.01
Pu1 0.000 0.000 0.000  5.80

Values from the calculation:
E above lowest polymorph = 328.3 meV/atom
Formation energy from the elements = 2 meV per atom
Final energy = -7.19 eV per atom
Total moment = 6.4 μB/cell

=====

Below is an optimized crystal structure of KZnAg2F6, with properties calculated at the GGA-PBE level.

a = 5.693 Å, b = 6.245 Å, c = 8.759 Å
α = 90.00°, β = 91.01°, γ = 90.00°
Site moments in Bohr magnetons follow the coordinates.
Fractional coordinates of all 20 atoms:
K1 0.500 0.000 0.000  0.00
K2 0.000 0.500 0.500  0.00
F1 0.163 0.257 0.130  0.05
F2 0.337 0.757 0.370  0.05
F3 0.168 0.360 0.796  0.09
F4 0.663 0.243 0.630  0.05
F5 0.713 0.337 0.957  0.04
F6 0.668 0.140 0.296  0.09
F7 0.832 0.640 0.204  0.09
F8 0.837 0.743 0.870  0.05
F9 0.213 0.163 0.457  0.04
F10 0.287 0.663 0.043  0.04
F11 0.332 0.860 0.704  0.09
F12 0.787 0.837 0.543  0.04
Zn1 0.000 0.500 0.000  0.00
Zn2 0.500 0.000 0.500  0.00
Ag1 0.489 0.446 0.215  0.29
Ag2 0.989 0.054 0.715  0.29
Ag3 0.511 0.554 0.785  0.29
Ag4 0.011 0.946 0.285  0.29

Values from the calculation:
Final energy = -3.71 eV per atom
E_form (uncorrected) = -1.78 eV per atom
Total moment = 1.9 μB/cell

=====

Below is an optimized crystal structure of SrCrB2, with properties calculated at the GGA-PBE level.

a = 4.595 Å, b = 4.595 Å, c = 7.443 Å
α = 72.02°, β = 72.02°, γ = 90.00°
Site moments in Bohr magnetons follow the coordinates.
Fractional coordinates of all 8 atoms:
Sr1 0.750 0.250 0.500  0.03
Sr2 0.000 0.000 0.000  0.03
B1 0.375 0.625 0.750  -0.06
B2 0.875 0.625 0.750  -0.06
B3 0.375 0.625 0.250  -0.07
B4 0.375 0.125 0.250  -0.06
Cr1 0.500 0.500 0.000  1.76
Cr2 0.250 0.750 0.500  1.76

Values from the calculation:
Formation energy from the elements = 563 meV per atom
Final energy = -5.60 eV per atom
Total moment = 3.9 μB/cell

=====

Below is an optimized crystal structure of BaBiH, with properties calculated at the GGA-PBE level.

a = 9.315 Å, b = 4.341 Å, c = 9.423 Å
α = 90.00°, β = 90.00°, γ = 90.00°
Fractional coordinates of all 12 atoms:
Bi1 0.750 0.250 0.056
Bi2 0.250 0.750 0.944
Bi3 0.250 0.250 0.444
Bi4 0.750 0.750 0.556
Ba1 0.000 0.250 0.750
Ba2 0.500 0.250 0.750
Ba3 0.000 0.750 0.250
Ba4 0.500 0.750 0.250
H1 0.250 0.750 0.402
H2 0.750 0.250 0.598
H3 0.250 0.250 0.902
H4 0.750 0.750 0.098

Values from the calculation:
E above lowest polymorph = 133.0 meV/atom
Final energy = -3.48 eV per atom
Total moment = 0.0 μB/cell